Here is a relaxed Ca7Ge6 crystal from Alexandria via LeMat-Bulk. Energies are from GGA-PBEsol.

abc: 7.329 22.085 7.986
angles: 90.00 90.00 90.00
Space group Pnma (No. 62)
One atom of each set of equivalent atoms:
Ca: 0.016 0.163 0.179 [8 per cell]
Ca: 0.148 0.643 0.318 [8 per cell]
Ca: 0.165 0.519 0.678 [8 per cell]
Ca: 0.185 0.250 0.517 [4 per cell]
Ge: 0.003 0.555 0.043 [8 per cell]
Ge: 0.075 0.250 0.876 [4 per cell]
Ge: 0.183 0.098 0.473 [8 per cell]
Ge: 0.191 0.750 0.604 [4 per cell]

Summary:
ΔH_f (0 K)	-0.674	eV/atom
ρ	3.68	g cm⁻³

---

Here is a relaxed CaGe crystal from Alexandria via LeMat-Bulk. Energies are from GGA-PBEsol.

abc: 4.504 13.210 6.453
angles: 90.00 90.00 90.00
Space group Cmcm (No. 63)
One atom of each set of equivalent atoms:
Ca: 0.000 0.045 0.250 [4 per cell]
Ca: 0.000 0.225 0.750 [4 per cell]
Ge: 0.000 0.404 0.054 [8 per cell]

Summary:
ΔH_f (0 K)	-0.693	eV/atom
ρ	3.90	g cm⁻³

---

Here is a relaxed Ca2Ge crystal from Alexandria via LeMat-Bulk. Energies are from GGA-PBEsol.

abc: 5.0623 5.0623 6.9140
angles: 90.00 90.00 120.00
Space group P6_3mc (No. 186)
One atom of each set of equivalent atoms:
Ca: 0.0000 0.0000 0.0000 [2 per cell]
Ca: 0.3333 0.6667 0.2499 [2 per cell]
Ge: 0.3333 0.6667 0.7510 [2 per cell]

Summary:
ΔH_f (0 K)	-0.602	eV/atom
ρ	3.31	g cm⁻³

---

Here is a relaxed Ca2Ge crystal from Alexandria via LeMat-Bulk. Energies are from GGA-PBEsol.

abc: 7.110 7.110 7.110
angles: 90.00 90.00 90.00
Space group Fm-3m (No. 225)
One atom of each set of equivalent atoms:
Ca: 0.250 0.250 0.250 [8 per cell]
Ge: 0.000 0.000 0.000 [4 per cell]

Summary:
ΔH_f (0 K)	-0.610	eV/atom
ρ	2.82	g cm⁻³

---

Here is a relaxed CaNiGeH crystal from Alexandria via LeMat-Bulk. Energies are from GGA-PBEsol.

abc: 3.944 3.944 7.506
angles: 90.00 90.00 90.00
Space group P4/nmm (No. 129, origin choice 2)
One atom of each set of equivalent atoms:
Ca: 0.250 0.250 0.151 [2 per cell]
Ni: 0.250 0.750 0.500 [2 per cell]
Ge: 0.250 0.250 0.664 [2 per cell]
H: 0.250 0.750 0.000 [2 per cell]

Summary:
E	-37.5	eV per cell
ρ	4.90	g cm⁻³

---

Here is a relaxed Ca2GeHOs crystal from Alexandria via LeMat-Bulk. Energies are from GGA-PBEsol.

abc: 4.774 4.774 3.685
angles: 90.00 90.00 90.00
Space group P4/mmm (No. 123)
One atom of each set of equivalent atoms:
Ca: 0.000 0.500 0.000 [2 per cell]
Ge: 0.000 0.000 0.500 [1 per cell]
H: 0.500 0.500 0.000 [1 per cell]
Os: 0.500 0.500 0.500 [1 per cell]

Summary:
E	-25.0	eV per cell
ρ	6.80	g cm⁻³

---

Here is a relaxed CaHfGe2 crystal from Alexandria via LeMat-Bulk. Energies are from GGA-PBEsol.

abc: 6.846 6.846 6.846
angles: 90.00 90.00 90.00
Space group Fm-3m (No. 225)
One atom of each set of equivalent atoms:
Ca: 0.000 0.000 0.000 [4 per cell]
Hf: 0.000 0.000 0.500 [4 per cell]
Ge: 0.250 0.250 0.250 [8 per cell]

Summary:
ΔH_f (0 K)	-0.279	eV/atom
ρ	7.53	g cm⁻³

---

Here is a relaxed CaHf2Ge2 crystal from Alexandria via LeMat-Bulk. Energies are from GGA-PBEsol.

abc: 4.320 4.320 11.837
angles: 90.00 90.00 90.00
Space group I4/mmm (No. 139)
One atom of each set of equivalent atoms:
Ca: 0.000 0.000 0.000 [2 per cell]
Hf: 0.000 0.500 0.250 [4 per cell]
Ge: 0.000 0.000 0.390 [4 per cell]

Summary:
ΔH_f (0 K)	-0.473	eV/atom
excess energy over the best structure of this formula in the dataset	0.0	kJ per mole of atoms
ρ	8.15	g cm⁻³

---

Here is a relaxed CaHfGe3 crystal from Alexandria via LeMat-Bulk. Energies are from GGA-PBEsol.

abc: 4.959 4.959 4.959
angles: 90.00 90.00 90.00
Space group Pm-3m (No. 221)
One atom of each set of equivalent atoms:
Ca: 0.000 0.000 0.000 [1 per cell]
Hf: 0.500 0.500 0.500 [1 per cell]
Ge: 0.000 0.000 0.500 [3 per cell]

Summary:
ΔH_f (0 K)	1.110	eV/atom
ρ	5.94	g cm⁻³

---

Here is a relaxed CaHf2Ge2 crystal from Alexandria via LeMat-Bulk. Energies are from GGA-PBEsol.

abc: 5.030 5.030 9.493
angles: 90.00 90.00 90.00
Space group I4/mmm (No. 139)
One atom of each set of equivalent atoms:
Ca: 0.000 0.000 0.000 [2 per cell]
Hf: 0.000 0.000 0.331 [4 per cell]
Ge: 0.000 0.500 0.250 [4 per cell]

Summary:
ΔH_f (0 K)	-0.172	eV/atom
excess energy over the best structure of this formula in the dataset	29.0	kJ per mole of atoms
ρ	7.50	g cm⁻³

---

Here is a relaxed CaHf2MgGe crystal from Alexandria via LeMat-Bulk. Energies are from GGA-PBEsol.

abc: 5.100 5.100 4.867
angles: 90.00 90.00 90.00
Space group P4/mmm (No. 123)
One atom of each set of equivalent atoms:
Ca: 0.000 0.000 0.000 [1 per cell]
Hf: 0.000 0.500 0.500 [2 per cell]
Mg: 0.500 0.500 0.500 [1 per cell]
Ge: 0.500 0.500 0.000 [1 per cell]

Summary:
ΔH_f (0 K)	1.001	eV/atom
ρ	6.48	g cm⁻³

---

Here is a relaxed Ca2HfGeP crystal from Alexandria via LeMat-Bulk. Energies are from GGA-PBEsol.

abc: 5.215 5.215 4.926
angles: 90.00 90.00 90.00
Space group P4/mmm (No. 123)
One atom of each set of equivalent atoms:
Ca: 0.000 0.500 0.000 [2 per cell]
Hf: 0.000 0.000 0.500 [1 per cell]
Ge: 0.500 0.500 0.500 [1 per cell]
P: 0.500 0.500 0.000 [1 per cell]

Summary:
ΔH_f (0 K)	0.356	eV/atom
ρ	4.49	g cm⁻³

---

Here is a relaxed Ca2HgGe2 crystal from Alexandria via LeMat-Bulk. Energies are from GGA-PBEsol.

abc: 3.764 3.764 17.389
angles: 90.00 90.00 90.00
Space group I4/mmm (No. 139)
One atom of each set of equivalent atoms:
Ca: 0.000 0.000 0.106 [4 per cell]
Hg: 0.000 0.000 0.500 [2 per cell]
Ge: 0.000 0.500 0.250 [4 per cell]

Summary:
ΔH_f (0 K)	-0.366	eV/atom
ρ	5.74	g cm⁻³

---

Here is a relaxed Ca2HgGe crystal from Alexandria via LeMat-Bulk. Energies are from GGA-PBEsol.

abc: 7.312 7.312 7.312
angles: 90.00 90.00 90.00
Space group Fm-3m (No. 225)
One atom of each set of equivalent atoms:
Ca: 0.250 0.250 0.250 [8 per cell]
Hg: 0.000 0.000 0.000 [4 per cell]
Ge: 0.000 0.000 0.500 [4 per cell]

Summary:
ΔH_f (0 K)	-0.650	eV/atom
ρ	6.00	g cm⁻³

---

Here is a relaxed Ca2HgGeP crystal from Alexandria via LeMat-Bulk. Energies are from GGA-PBEsol.

abc: 5.694 5.694 4.706
angles: 90.00 90.00 90.00
Space group P4/mmm (No. 123)
One atom of each set of equivalent atoms:
Ca: 0.000 0.500 0.000 [2 per cell]
Hg: 0.000 0.000 0.000 [1 per cell]
Ge: 0.500 0.500 0.500 [1 per cell]
P: 0.000 0.000 0.500 [1 per cell]

Summary:
ΔH_f (0 K)	0.278	eV/atom
ρ	4.18	g cm⁻³

---

Here is a relaxed CaHo2Ge4O12 crystal from Alexandria via LeMat-Bulk. Energies are from GGA-PBEsol.

abc: 14.085 14.085 5.055
angles: 90.00 90.00 90.00
Space group Cmme (No. 67)
One atom of each set of equivalent atoms:
Ca: 0.000 0.000 0.000 [4 per cell]
Ho: 0.250 0.000 0.000 [4 per cell]
Ho: 0.250 0.250 0.000 [4 per cell]
Ge: 0.115 0.135 0.496 [16 per cell]
O: 0.000 0.130 0.650 [8 per cell]
O: 0.123 0.052 0.246 [16 per cell]
O: 0.127 0.250 0.331 [8 per cell]
O: 0.194 0.134 0.760 [16 per cell]

Summary:
ρ	5.65	g cm⁻³
E_form (uncorrected)	-2.435	eV/atom

---

Here is a relaxed CaGeI2 crystal from Alexandria via LeMat-Bulk. Energies are from GGA-PBEsol.

abc: 7.694 7.694 7.694
angles: 90.00 90.00 90.00
Space group Fm-3m (No. 225)
One atom of each set of equivalent atoms:
Ca: 0.000 0.000 0.000 [4 per cell]
Ge: 0.000 0.000 0.500 [4 per cell]
I: 0.250 0.250 0.250 [8 per cell]

Summary:
ρ	5.35	g cm⁻³
E_form (uncorrected)	-0.444	eV/atom

---

Here is a relaxed CaGeIN2 crystal from Alexandria via LeMat-Bulk. Energies are from GGA-PBEsol.

abc: 4.022 4.022 5.638
angles: 90.00 90.00 90.00
Space group P4/mmm (No. 123)
One atom of each set of equivalent atoms:
Ca: 0.000 0.000 0.000 [1 per cell]
Ge: 0.500 0.500 0.500 [1 per cell]
I: 0.500 0.500 0.000 [1 per cell]
N: 0.000 0.500 0.500 [2 per cell]

Summary:
ρ	4.87	g cm⁻³
E_form (uncorrected)	0.502	eV/atom

---

Here is a relaxed CaGeI2N crystal from Alexandria via LeMat-Bulk. Energies are from GGA-PBEsol.

abc: 5.932 5.932 4.387
angles: 90.00 90.00 90.00
Space group P4/mmm (No. 123)
One atom of each set of equivalent atoms:
Ca: 0.000 0.000 0.000 [1 per cell]
Ge: 0.500 0.500 0.500 [1 per cell]
I: 0.000 0.500 0.000 [2 per cell]
N: 0.000 0.000 0.500 [1 per cell]

Summary:
ρ	4.09	g cm⁻³
E_form (uncorrected)	0.418	eV/atom

---

Here is a relaxed CaGeI2O crystal from Alexandria via LeMat-Bulk. Energies are from GGA-PBEsol.

abc: 5.938 5.938 4.071
angles: 90.00 90.00 90.00
Space group P4/mmm (No. 123)
One atom of each set of equivalent atoms:
Ca: 0.000 0.000 0.000 [1 per cell]
Ge: 0.500 0.500 0.500 [1 per cell]
I: 0.000 0.500 0.000 [2 per cell]
O: 0.000 0.000 0.500 [1 per cell]

Summary:
excess energy over the best structure of this formula in the dataset	28.8	kJ per mole of atoms
ρ	4.43	g cm⁻³
E_form (uncorrected)	-0.501	eV/atom

---

Here is a relaxed CaGeI2O crystal from Alexandria via LeMat-Bulk. Energies are from GGA-PBEsol.

abc: 5.881 5.881 3.857
angles: 90.00 90.00 90.00
Space group P4/mmm (No. 123)
One atom of each set of equivalent atoms:
Ca: 0.000 0.000 0.000 [1 per cell]
Ge: 0.500 0.500 0.500 [1 per cell]
I: 0.000 0.500 0.500 [2 per cell]
O: 0.500 0.500 0.000 [1 per cell]

Summary:
excess energy over the best structure of this formula in the dataset	0.0	kJ per mole of atoms
ρ	4.76	g cm⁻³
E_form (uncorrected)	-0.799	eV/atom

---

Here is a relaxed CaGeRhI2 crystal from Alexandria via LeMat-Bulk. Energies are from GGA-PBEsol.

abc: 5.688 5.688 4.582
angles: 90.00 90.00 90.00
Space group P4/mmm (No. 123)
One atom of each set of equivalent atoms:
Ca: 0.000 0.000 0.000 [1 per cell]
Ge: 0.500 0.500 0.500 [1 per cell]
Rh: 0.500 0.500 0.000 [1 per cell]
I: 0.000 0.500 0.500 [2 per cell]

Summary:
ρ	5.26	g cm⁻³
E_form (uncorrected)	0.002	eV/atom

---

Here is a relaxed CaGeSb2I crystal from Alexandria via LeMat-Bulk. Energies are from GGA-PBEsol.

abc: 5.305 5.305 5.704
angles: 90.00 90.00 90.00
Space group P4/mmm (No. 123)
One atom of each set of equivalent atoms:
Ca: 0.000 0.000 0.000 [1 per cell]
Ge: 0.500 0.500 0.500 [1 per cell]
Sb: 0.000 0.500 0.500 [2 per cell]
I: 0.500 0.500 0.000 [1 per cell]

Summary:
ρ	5.00	g cm⁻³
E_form (uncorrected)	-0.003	eV/atom

---

Here is a relaxed CaGeTeI2 crystal from Alexandria via LeMat-Bulk. Energies are from GGA-PBEsol.

abc: 5.702 5.702 6.045
angles: 90.00 90.00 90.00
Space group P4/mmm (No. 123)
One atom of each set of equivalent atoms:
Ca: 0.000 0.000 0.000 [1 per cell]
Ge: 0.500 0.500 0.500 [1 per cell]
Te: 0.000 0.000 0.500 [1 per cell]
I: 0.000 0.500 0.000 [2 per cell]

Summary:
ρ	4.18	g cm⁻³
E_form (uncorrected)	-0.096	eV/atom